No. 1
# PBE K2RuCl, optimized geometry
# - excess energy over the best structure of this formula in the dataset (meV per atom) = 530
# - formation energy from raw total energies (eV per formula unit) = 2.2
data_K2RuCl
_chemical_formula_sum 'K8 Ru4 Cl4'
_space_group_name_H-M_alt 'F -4 3 m'
_space_group_IT_number 216
_space_group_name_Hall 'F -4 2 3'
_cell_length_a 7.8989
_cell_length_b 7.8989
_cell_length_c 7.8989
_cell_angle_alpha 90.00
_cell_angle_beta 90.00
_cell_angle_gamma 90.00
loop_
_atom_site_label
_atom_site_type_symbol
_atom_site_fract_x
_atom_site_fract_y
_atom_site_fract_z
_atom_site_occupancy
K1 K 0.0000 0.0000 0.0000 1
K2 K 0.2500 0.2500 0.2500 1
Ru1 Ru 0.2500 0.2500 0.7500 1
Cl1 Cl 0.0000 0.0000 0.5000 1

No. 2
# PBE KRu2Cl, optimized geometry
# - excess energy over the best structure of this formula in the dataset (meV per atom) = 0
# - formation energy from raw total energies (eV per formula unit) = 0.5
data_KRu2Cl
_chemical_formula_sum 'K1 Ru2 Cl1'
_space_group_name_H-M_alt 'P 1 m 1'
_space_group_IT_number 6
_cell_length_a 2.9872
_cell_length_b 3.3199
_cell_length_c 8.2255
_cell_angle_alpha 90.00
_cell_angle_beta 100.46
_cell_angle_gamma 90.00
loop_
_space_group_symop_operation_xyz
'x,y,z'
'x,-y,z'
loop_
_atom_site_label
_atom_site_type_symbol
_atom_site_fract_x
_atom_site_fract_y
_atom_site_fract_z
_atom_site_occupancy
K1 K 0.0000 0.0000 0.0000 1
Ru1 Ru 0.2423 0.0000 0.4889 1
Ru2 Ru 0.6686 0.5000 0.3414 1
Cl1 Cl 0.3720 0.5000 0.7454 1

No. 3
# PBE K2RuCl, optimized geometry
# - excess energy over the best structure of this formula in the dataset (meV per atom) = 357
# - formation energy from raw total energies (eV per formula unit) = 1.5
data_K2RuCl
_chemical_formula_sum 'K4 Ru2 Cl2'
_space_group_name_H-M_alt 'I -4 m 2'
_space_group_IT_number 119
_space_group_name_Hall 'I -4 -2'
_cell_length_a 4.5437
_cell_length_b 4.5437
_cell_length_c 13.6616
_cell_angle_alpha 90.00
_cell_angle_beta 90.00
_cell_angle_gamma 90.00
loop_
_atom_site_label
_atom_site_type_symbol
_atom_site_fract_x
_atom_site_fract_y
_atom_site_fract_z
_atom_site_occupancy
K1 K 0.0000 0.0000 0.0000 1
K2 K 0.0000 0.5000 0.2500 1
Ru1 Ru 0.0000 0.5000 0.7500 1
Cl1 Cl 0.0000 0.0000 0.5000 1

No. 4
# PBE KRuCl4, optimized geometry
# - excess energy over the best structure of this formula in the dataset (meV per atom) = 1460
# - formation energy from raw total energies (eV per formula unit) = 2.9
data_KRuCl4
_chemical_formula_sum 'K4 Ru4 Cl16'
_space_group_name_H-M_alt 'F -4 3 m'
_space_group_IT_number 216
_space_group_name_Hall 'F -4 2 3'
_cell_length_a 8.5684
_cell_length_b 8.5684
_cell_length_c 8.5684
_cell_angle_alpha 90.00
_cell_angle_beta 90.00
_cell_angle_gamma 90.00
loop_
_atom_site_label
_atom_site_type_symbol
_atom_site_fract_x
_atom_site_fract_y
_atom_site_fract_z
_atom_site_occupancy
K1 K 0.0000 0.0000 0.0000 1
Ru1 Ru 0.2500 0.2500 0.7500 1
Cl1 Cl 0.1244 0.1244 0.3756 1

No. 5
# PBE KRu2Cl, optimized geometry
# - excess energy over the best structure of this formula in the dataset (meV per atom) = 582
# - formation energy from raw total energies (eV per formula unit) = 2.8
data_KRu2Cl
_chemical_formula_sum 'K1 Ru2 Cl1'
_space_group_name_H-M_alt 'P 4/m m m'
_space_group_IT_number 123
_space_group_name_Hall '-P 4 2'
_cell_length_a 3.6962
_cell_length_b 3.6962
_cell_length_c 7.4429
_cell_angle_alpha 90.00
_cell_angle_beta 90.00
_cell_angle_gamma 90.00
loop_
_atom_site_label
_atom_site_type_symbol
_atom_site_fract_x
_atom_site_fract_y
_atom_site_fract_z
_atom_site_occupancy
K1 K 0.0000 0.0000 0.0000 1
Ru1 Ru 0.0000 0.5000 0.5000 1
Cl1 Cl 0.5000 0.5000 0.0000 1

No. 6
# PBE KRuCl, optimized geometry
# - excess energy over the best structure of this formula in the dataset (meV per atom) = 548
# - formation energy from raw total energies (eV per formula unit) = 2.5
data_KRuCl
_chemical_formula_sum 'K4 Ru4 Cl4'
_space_group_name_H-M_alt 'F -4 3 m'
_space_group_IT_number 216
_space_group_name_Hall 'F -4 2 3'
_cell_length_a 6.7315
_cell_length_b 6.7315
_cell_length_c 6.7315
_cell_angle_alpha 90.00
_cell_angle_beta 90.00
_cell_angle_gamma 90.00
loop_
_atom_site_label
_atom_site_type_symbol
_atom_site_fract_x
_atom_site_fract_y
_atom_site_fract_z
_atom_site_occupancy
K1 K 0.0000 0.0000 0.0000 1
Ru1 Ru 0.2500 0.2500 0.2500 1
Cl1 Cl 0.0000 0.0000 0.5000 1

- What is the excess energy over the best structure of this formula in the dataset in the first record?
  530 meV per atom